No. 1
# NaYH8C4O12 (GGA-PBEsol, relaxed)
# Fermi-level density of states	0.0	states/eV per cell
data_NaYH8C4O12
_chemical_formula_sum 'Na4 Y4 H32 C16 O48'
_cell_length_a 8.585
_cell_length_b 8.582
_cell_length_c 14.578
_cell_angle_alpha 103.92
_cell_angle_beta 90.00
_cell_angle_gamma 90.00
_symmetry_space_group_name_H-M 'P 1'
_symmetry_Int_Tables_number 1
loop_
_symmetry_equiv_pos_as_xyz
'x,y,z'
loop_
_atom_site_label
_atom_site_fract_x
_atom_site_fract_y
_atom_site_fract_z
Na1 0.309 0.993 0.520
Na2 0.691 0.993 0.020
Na3 0.620 0.302 0.519
Na4 0.380 0.302 0.019
Y1 0.599 0.667 0.732
Y2 0.401 0.667 0.232
Y3 0.097 0.202 0.807
Y4 0.903 0.202 0.307
H1 0.960 0.357 0.513
H2 0.040 0.357 0.013
H3 0.945 0.163 0.500
H4 0.055 0.163 0.000
H5 0.674 0.648 0.526
H6 0.326 0.648 0.026
H7 0.486 0.637 0.539
H8 0.514 0.637 0.039
H9 0.267 0.233 0.445
H10 0.733 0.233 0.945
H11 0.309 0.363 0.540
H12 0.691 0.363 0.040
H13 0.953 0.890 0.490
H14 0.047 0.890 0.990
H15 0.010 0.980 0.590
H16 0.990 0.980 0.090
H17 0.219 0.648 0.551
H18 0.781 0.648 0.051
H19 0.268 0.668 0.451
H20 0.732 0.668 0.951
H21 0.676 0.975 0.499
H22 0.324 0.975 0.999
H23 0.581 0.979 0.594
H24 0.419 0.979 0.094
H25 0.091 0.477 0.633
H26 0.909 0.477 0.133
H27 0.973 0.612 0.614
H28 0.027 0.612 0.114
H29 0.753 0.728 0.403
H30 0.247 0.728 0.903
H31 0.893 0.620 0.428
H32 0.107 0.620 0.928
C1 0.827 0.375 0.723
C2 0.173 0.375 0.223
C3 0.875 0.496 0.816
C4 0.125 0.496 0.316
C5 0.380 0.966 0.723
C6 0.620 0.966 0.223
C7 0.322 0.912 0.810
C8 0.678 0.912 0.310
C9 0.891 0.889 0.727
C10 0.109 0.889 0.227
C11 0.802 0.978 0.816
C12 0.198 0.978 0.316
C13 0.313 0.435 0.723
C14 0.687 0.435 0.223
C15 0.395 0.424 0.815
C16 0.605 0.424 0.315
O1 0.905 0.258 0.477
O2 0.095 0.258 0.977
O3 0.591 0.606 0.562
O4 0.409 0.606 0.062
O5 0.342 0.261 0.498
O6 0.658 0.261 0.998
O7 0.016 0.985 0.523
O8 0.984 0.985 0.023
O9 0.300 0.699 0.519
O10 0.700 0.699 0.019
O11 0.590 0.029 0.539
O12 0.410 0.029 0.039
O13 0.051 0.530 0.583
O14 0.949 0.530 0.083
O15 0.820 0.710 0.456
O16 0.180 0.710 0.956
O17 0.723 0.421 0.674
O18 0.277 0.421 0.174
O19 0.896 0.242 0.704
O20 0.104 0.242 0.204
O21 0.801 0.627 0.837
O22 0.199 0.627 0.337
O23 0.016 0.457 0.364
O24 0.984 0.457 0.864
O25 0.305 0.077 0.699
O26 0.695 0.077 0.199
O27 0.499 0.894 0.682
O28 0.501 0.894 0.182
O29 0.224 0.000 0.863
O30 0.776 0.000 0.363
O31 0.376 0.782 0.823
O32 0.624 0.782 0.323
O33 0.835 0.757 0.680
O34 0.165 0.757 0.180
O35 0.015 0.953 0.707
O36 0.985 0.953 0.207
O37 0.682 0.913 0.840
O38 0.318 0.913 0.340
O39 0.857 0.113 0.858
O40 0.143 0.113 0.358
O41 0.178 0.375 0.707
O42 0.822 0.375 0.207
O43 0.383 0.507 0.669
O44 0.617 0.507 0.169
O45 0.328 0.340 0.863
O46 0.672 0.340 0.363
O47 0.519 0.503 0.834
O48 0.481 0.503 0.334

No. 2
# Na3YH12C3O15 (GGA-PBEsol, relaxed)
# Fermi-level density of states	0.0	states/eV per cell
data_Na3YH12C3O15
_chemical_formula_sum 'Na6 Y2 H24 C6 O30'
_cell_length_a 5.784
_cell_length_b 11.306
_cell_length_c 11.306
_cell_angle_alpha 120.00
_cell_angle_beta 90.00
_cell_angle_gamma 90.00
_symmetry_space_group_name_H-M 'P 1'
_symmetry_Int_Tables_number 1
loop_
_symmetry_equiv_pos_as_xyz
'x,y,z'
loop_
_atom_site_label
_atom_site_fract_x
_atom_site_fract_y
_atom_site_fract_z
Na1 0.323 0.359 0.368
Na2 0.323 0.632 0.991
Na3 0.323 0.009 0.641
Na4 0.823 0.641 0.632
Na5 0.823 0.991 0.359
Na6 0.823 0.368 0.009
Y1 0.586 0.333 0.667
Y2 0.086 0.667 0.333
H1 0.355 0.296 0.880
H2 0.569 0.008 0.874
H3 0.957 0.769 0.903
H4 0.355 0.584 0.704
H5 0.855 0.416 0.296
H6 0.355 0.120 0.416
H7 0.855 0.880 0.584
H8 0.143 0.269 0.775
H9 0.143 0.505 0.731
H10 0.069 0.874 0.867
H11 0.457 0.231 0.097
H12 0.855 0.704 0.120
H13 0.569 0.126 0.133
H14 0.643 0.731 0.225
H15 0.069 0.133 0.008
H16 0.569 0.867 0.992
H17 0.957 0.134 0.231
H18 0.143 0.225 0.495
H19 0.643 0.775 0.505
H20 0.457 0.866 0.769
H21 0.069 0.992 0.126
H22 0.643 0.495 0.269
H23 0.957 0.097 0.866
H24 0.457 0.903 0.134
C1 0.817 0.561 0.882
C2 0.817 0.321 0.439
C3 0.317 0.439 0.118
C4 0.817 0.118 0.679
C5 0.317 0.882 0.321
C6 0.317 0.679 0.561
O1 0.927 0.306 0.334
O2 0.318 0.512 0.731
O3 0.158 0.499 0.088
O4 0.158 0.589 0.501
O5 0.318 0.219 0.488
O6 0.864 0.241 0.490
O7 0.158 0.912 0.411
O8 0.818 0.781 0.512
O9 0.431 0.850 0.033
O10 0.427 0.334 0.028
O11 0.364 0.752 0.241
O12 0.818 0.488 0.269
O13 0.427 0.972 0.306
O14 0.927 0.666 0.972
O15 0.864 0.510 0.752
O16 0.658 0.088 0.589
O17 0.431 0.183 0.150
O18 0.931 0.033 0.183
O19 0.864 0.248 0.759
O20 0.364 0.490 0.248
O21 0.927 0.028 0.694
O22 0.318 0.269 0.781
O23 0.364 0.759 0.510
O24 0.658 0.411 0.499
O25 0.658 0.501 0.912
O26 0.818 0.731 0.219
O27 0.931 0.817 0.850
O28 0.931 0.150 0.967
O29 0.431 0.967 0.817
O30 0.427 0.694 0.666

No. 3
# NdH3C3O6 (GGA-PBEsol, relaxed)
# Fermi-level density of states	0.0	states/eV per cell
data_NdH3C3O6
_chemical_formula_sum 'Nd1 H3 C3 O6'
_cell_length_a 4.031
_cell_length_b 6.247
_cell_length_c 6.247
_cell_angle_alpha 115.51
_cell_angle_beta 102.42
_cell_angle_gamma 102.42
_symmetry_space_group_name_H-M 'P 1'
_symmetry_Int_Tables_number 1
loop_
_symmetry_equiv_pos_as_xyz
'x,y,z'
loop_
_atom_site_label
_atom_site_fract_x
_atom_site_fract_y
_atom_site_fract_z
H1 0.769 0.483 0.000
H2 0.769 0.000 0.483
H3 0.286 0.517 0.517
C1 0.986 0.460 0.460
C2 0.526 0.540 0.000
C3 0.526 0.000 0.540
Nd1 0.136 0.000 0.000
O1 0.249 0.400 0.000
O2 0.800 0.253 0.253
O3 0.547 0.000 0.747
O4 0.850 0.600 0.600
O5 0.249 0.000 0.400
O6 0.547 0.747 0.000

No. 4
# RbHC2O4 (GGA-PBEsol, relaxed)
# Fermi-level density of states	0.0	states/eV per cell
data_RbHC2O4
_chemical_formula_sum 'Rb4 H4 C8 O16'
_cell_length_a 4.306
_cell_length_b 7.878
_cell_length_c 13.518
_cell_angle_alpha 90.00
_cell_angle_beta 90.00
_cell_angle_gamma 103.79
_symmetry_space_group_name_H-M 'P 1'
_symmetry_Int_Tables_number 1
loop_
_symmetry_equiv_pos_as_xyz
'x,y,z'
loop_
_atom_site_label
_atom_site_fract_x
_atom_site_fract_y
_atom_site_fract_z
Rb1 0.199 0.769 0.936
Rb2 0.801 0.231 0.064
Rb3 0.801 0.731 0.436
Rb4 0.199 0.269 0.564
H1 0.867 0.531 0.729
H2 0.133 0.469 0.271
H3 0.133 0.969 0.229
H4 0.867 0.031 0.771
C1 0.299 0.713 0.659
C2 0.701 0.287 0.341
C3 0.701 0.787 0.159
C4 0.299 0.213 0.841
C5 0.586 0.873 0.675
C6 0.414 0.127 0.325
C7 0.414 0.627 0.175
C8 0.586 0.373 0.825
O1 0.118 0.667 0.734
O2 0.882 0.333 0.266
O3 0.882 0.833 0.234
O4 0.118 0.167 0.766
O5 0.266 0.645 0.575
O6 0.734 0.355 0.425
O7 0.734 0.855 0.075
O8 0.266 0.145 0.925
O9 0.650 0.918 0.768
O10 0.350 0.082 0.232
O11 0.350 0.582 0.268
O12 0.650 0.418 0.732
O13 0.266 0.554 0.103
O14 0.734 0.446 0.897
O15 0.734 0.946 0.603
O16 0.266 0.054 0.397

Number 1: total moment 0.000 μB per cell, uncorrected energy -693.8 eV per cell. Number 2: total moment 0.001 μB per cell, uncorrected energy -419.1 eV per cell. Number 3: total moment 0.000 μB per cell, uncorrected energy -94.2 eV per cell. Number 4: total moment 0.000 μB per cell, uncorrected energy -221.1 eV per cell.